one.
! Cu7Ag3, optimized geometry, DFT PBE; values from VASP
&SYSTEM
  ibrav = 0, nat = 10, ntyp = 2
/
ATOMIC_SPECIES
Cu 63.55 Cu.upf
Ag 107.87 Ag.upf
ATOMIC_POSITIONS crystal
Cu 0.0000 0.0000 0.0000
Cu 0.2001 0.2001 0.3948
Cu 0.2981 0.2981 0.0881
Cu 0.3973 0.3973 0.8151
Cu 0.6027 0.6027 0.1849
Cu 0.7019 0.7019 0.9119
Cu 0.7999 0.7999 0.6052
Ag 0.1015 0.1015 0.7149
Ag 0.5000 0.5000 0.5000
Ag 0.8985 0.8985 0.2851
CELL_PARAMETERS angstrom
4.4187 -1.3650 0.0000
4.4187 1.3650 0.0000
-2.2059 0.0000 11.4264
! space-group type: No. 12
! crystal system: monoclinic

***

two.
! Cu7Ag3, optimized geometry, DFT PBE; values from VASP
&SYSTEM
  ibrav = 0, nat = 10, ntyp = 2
/
ATOMIC_SPECIES
Cu 63.55 Cu.upf
Ag 107.87 Ag.upf
ATOMIC_POSITIONS crystal
Cu 0.0000 0.0000 0.0000
Cu 0.1935 0.1935 0.0926
Cu 0.4004 0.4004 0.1770
Cu 0.4044 0.4044 0.7220
Cu 0.5956 0.5956 0.2780
Cu 0.5996 0.5996 0.8230
Cu 0.8065 0.8065 0.9074
Ag 0.0000 0.0000 0.5000
Ag 0.2006 0.2006 0.6143
Ag 0.7994 0.7994 0.3857
CELL_PARAMETERS angstrom
6.9508 -1.8285 0.0000
6.9508 1.8285 0.0000
-1.1671 0.0000 5.3853
! space-group type: No. 12
! crystal system: monoclinic

***

three.
! Cu7Ag3, optimized geometry, DFT PBE; values from VASP
&SYSTEM
  ibrav = 0, nat = 10, ntyp = 2
/
ATOMIC_SPECIES
Cu 63.55 Cu.upf
Ag 107.87 Ag.upf
ATOMIC_POSITIONS crystal
Cu 0.0000 0.0000 0.0000
Cu 0.0000 0.0000 0.1781
Cu 0.0000 0.0000 0.3929
Cu 0.0000 0.0000 0.6069
Cu 0.5000 0.5000 0.0891
Cu 0.5000 0.5000 0.6947
Cu 0.5000 0.5000 0.9110
Ag 0.0000 0.0000 0.8027
Ag 0.5000 0.5000 0.2860
Ag 0.5000 0.5000 0.4995
CELL_PARAMETERS angstrom
2.7641 0.0000 0.0000
0.0000 2.7641 0.0000
0.0000 0.0000 17.8784
! space-group type: No. 99
! crystal system: tetragonal

***

Verdict on stability: one comes out at the bottom.

***

one.
! Cu7Ag3, optimized geometry, DFT PBE; values from VASP
&SYSTEM
  ibrav = 0, nat = 10, ntyp = 2
/
ATOMIC_SPECIES
Cu 63.55 Cu.upf
Ag 107.87 Ag.upf
ATOMIC_POSITIONS crystal
Cu 0.0000 0.0000 0.0000
Cu 0.0000 0.0000 0.1803
Cu 0.0000 0.0000 0.3939
Cu 0.0000 0.0000 0.6061
Cu 0.0000 0.0000 0.8197
Cu 0.5000 0.5000 0.0908
Cu 0.5000 0.5000 0.9092
Ag 0.5000 0.5000 0.2878
Ag 0.5000 0.5000 0.5000
Ag 0.5000 0.5000 0.7122
CELL_PARAMETERS angstrom
2.7420 0.0000 0.0000
0.0000 3.5781 0.0000
0.0000 0.0000 13.8728
! space-group type: No. 47
! crystal system: orthorhombic

***

two.
! Cu7Ag3, optimized geometry, DFT PBE; values from VASP
&SYSTEM
  ibrav = 0, nat = 10, ntyp = 2
/
ATOMIC_SPECIES
Cu 63.55 Cu.upf
Ag 107.87 Ag.upf
ATOMIC_POSITIONS crystal
Cu 0.0000 0.0000 0.0000
Cu 0.2043 0.2043 0.0855
Cu 0.2074 0.2074 0.6156
Cu 0.3929 0.3929 0.1954
Cu 0.6071 0.6071 0.8046
Cu 0.7926 0.7926 0.3844
Cu 0.7957 0.7957 0.9145
Ag 0.0000 0.0000 0.5000
Ag 0.3915 0.3915 0.7037
Ag 0.6085 0.6085 0.2963
CELL_PARAMETERS angstrom
9.3207 -1.3726 0.0000
9.3207 1.3726 0.0000
-0.8681 0.0000 5.3706
! space-group type: No. 12
! crystal system: monoclinic

***

Verdict on stability: two comes out at the bottom.